First-principles (PBE+U) data for a geometry-optimized MgGaNi2O5 structure, as listed in the Alexandria database.

```
data_MgGaNi2O5
_symmetry_space_group_name_H-M 'C m c 21'
_symmetry_Int_Tables_number 36
_cell_length_a 3.026
_cell_length_b 11.877
_cell_length_c 10.571
_cell_angle_alpha 90.00
_cell_angle_beta 90.00
_cell_angle_gamma 90.00
loop_
_symmetry_equiv_pos_as_xyz
'x,y,z'
'-x,-y,z+1/2'
'-x,y,z'
'x,-y,z+1/2'
'x+1/2,y+1/2,z'
'-x+1/2,-y+1/2,z+1/2'
'-x+1/2,y+1/2,z'
'x+1/2,-y+1/2,z+1/2'
loop_
_atom_site_label
_atom_site_fract_x
_atom_site_fract_y
_atom_site_fract_z
Mg1 0.000 0.072 0.000
Ga1 0.000 0.227 0.578
Ni1 0.000 0.324 0.800
Ni2 0.000 0.458 0.219
O1 0.000 0.013 0.333
O2 0.000 0.072 0.603
O3 0.000 0.251 0.965
O4 0.000 0.280 0.233
O5 0.000 0.388 0.616
```

Computed properties:
Its electronic total energy is -0.386 Ry/atom. Its density of states at the Fermi level is 13.4 states/eV per cell.